Entry from Alexandria: an optimized crystal structure of BaGeMo2O8 (PBE with a Hubbard U).

Total energy: -81.897 eV/f.u.
DOS(E_F): 0.0 states/eV/cell
Space group: No. 164

a b c (Å): 5.9537 5.9537 7.5423
angles (deg): 90.00 90.00 120.00
Closest atoms and distances in Å follow each position.
Positions (direct):
Ba (0.0000, 0.0000, 0.0000)  6 O 2.82
Ge (0.0000, 0.0000, 0.5000)  6 O 2.28
Mo (0.6667, 0.3333, 0.2289)  4 O 1.77-1.81
Mo (0.3333, 0.6667, 0.7711)  4 O 1.77-1.81
O (0.3333, 0.6667, 0.0060)  1 Mo 1.77
O (0.3308, 0.1658, 0.2985)  1 Mo 1.81
O (0.8342, 0.1650, 0.2985)  1 Mo 1.81
O (0.6667, 0.3333, 0.9940)  1 Mo 1.77
O (0.1658, 0.8350, 0.7015)  1 Mo 1.81
O (0.6692, 0.8342, 0.7015)  1 Mo 1.81
O (0.1650, 0.3308, 0.7015)  1 Mo 1.81
O (0.8350, 0.6692, 0.2985)  1 Mo 1.81